(1)
The following is a DFT calculation (SCAN) of RbBaF2 at its PBEsol-relaxed geometry.

**Calculated volume**: 33.23 Å³ per atom
**Energy above the lowest structure with this stoichiometry**: 0.615 eV per formula unit
**Spin magnetization**: 0.0 μB/cell
**Energy relative to the elements, uncorrected**: -2.7591 eV/atom
**Symmetry**: I-42d (122)

The structure in POSCAR format:
```
RbBaF2
1.0
-3.2100 3.2100 6.4489
3.2100 -3.2100 6.4489
3.2100 3.2100 -6.4489
Rb Ba F
2 2 4
Direct
0.0000 0.0000 0.0000 Rb
0.7500 0.2500 0.5000 Rb
0.2500 0.7500 0.5000 Ba
0.5000 0.5000 0.0000 Ba
0.2002 0.6250 0.0752 F
0.3750 0.4502 0.5752 F
0.5498 0.1250 0.9248 F
0.8750 0.7998 0.4248 F
```

***

(2)
The following is a DFT calculation (SCAN) of RbBaF2 at its PBEsol-relaxed geometry.

**Calculated volume**: 30.49 Å³ per atom
**Energy above the lowest structure with this stoichiometry**: 0.000 eV per formula unit
**Spin magnetization**: 0.0 μB/cell
**Energy relative to the elements, uncorrected**: -2.9128 eV/atom
**Symmetry**: R-3m (166)

The structure in POSCAR format:
```
RbBaF2
1.0
2.1734 1.2548 7.4539
-2.1734 1.2548 7.4539
0.0000 -2.5096 7.4539
Rb Ba F
1 1 2
Direct
0.0000 0.0000 0.0000 Rb
0.5000 0.5000 0.5000 Ba
0.1262 0.1262 0.1262 F
0.8738 0.8738 0.8738 F
```

***

(3)
The following is a DFT calculation (SCAN) of RbBaRu2F at its PBEsol-relaxed geometry.

**Calculated volume**: 20.27 Å³ per atom
**Spin magnetization**: 0.8 μB/cell
**Energy relative to the elements, uncorrected**: 0.5330 eV/atom
**Symmetry**: P4/mmm (123)

The structure in POSCAR format:
```
RbBaRu2F
1.0
4.4496 0.0000 0.0000
0.0000 4.4496 0.0000
0.0000 0.0000 5.1196
Rb Ba Ru F
1 1 2 1
Direct
0.0000 0.0000 0.0000 Rb
0.5000 0.5000 0.0000 Ba
0.0000 0.5000 0.5000 Ru
0.5000 0.0000 0.5000 Ru
0.0000 0.0000 0.5000 F
```

***

(4)
The following is a DFT calculation (SCAN) of Rb2BaTaF at its PBEsol-relaxed geometry.

**Calculated volume**: 39.81 Å³ per atom
**Spin magnetization**: 5.6 μB/cell
**Energy relative to the elements, uncorrected**: 0.1087 eV/atom
**Symmetry**: P4/mmm (123)

The structure in POSCAR format:
```
Rb2BaTaF
1.0
5.1386 0.0000 0.0000
0.0000 5.1386 0.0000
0.0000 0.0000 7.5382
Rb Ba Ta F
2 1 1 1
Direct
0.0000 0.5000 0.0000 Rb
0.5000 0.0000 0.0000 Rb
0.0000 0.0000 0.5000 Ba
0.5000 0.5000 0.5000 Ta
0.5000 0.5000 0.0000 F
```

***

(5)
The following is a DFT calculation (SCAN) of Ba3ReF at its PBEsol-relaxed geometry.

**Calculated volume**: 29.03 Å³ per atom
**Spin magnetization**: 1.3 μB/cell
**Energy relative to the elements, uncorrected**: -0.3219 eV/atom
**Symmetry**: Pm-3m (221)

The structure in POSCAR format:
```
Ba3ReF
1.0
5.2553 0.0000 0.0000
0.0000 5.2553 0.0000
0.0000 0.0000 5.2553
Ba Re F
3 1 1
Direct
0.0000 0.0000 0.5000 Ba
0.0000 0.5000 0.0000 Ba
0.5000 0.0000 0.0000 Ba
0.5000 0.5000 0.5000 Re
0.0000 0.0000 0.0000 F
```

***

(6)
The following is a DFT calculation (SCAN) of BaRhF3 at its PBEsol-relaxed geometry.

**Calculated volume**: 24.73 Å³ per atom
**Energy above the lowest structure with this stoichiometry**: 1.966 eV per formula unit
**Spin magnetization**: 2.0 μB/cell
**Energy relative to the elements, uncorrected**: -1.8415 eV/atom
**Symmetry**: Pm-3m (221)

The structure in POSCAR format:
```
BaRhF3
1.0
4.9817 0.0000 0.0000
0.0000 4.9817 0.0000
0.0000 0.0000 4.9817
Ba Rh F
1 1 3
Direct
0.0000 0.0000 0.0000 Ba
0.5000 0.5000 0.5000 Rh
0.0000 0.0000 0.5000 F
0.0000 0.5000 0.0000 F
0.5000 0.0000 0.0000 F
```

***

(7)
The following is a DFT calculation (SCAN) of BaRhF3 at its PBEsol-relaxed geometry.

**Calculated volume**: 16.17 Å³ per atom
**Energy above the lowest structure with this stoichiometry**: 0.000 eV per formula unit
**Spin magnetization**: 0.0 μB/cell
**Energy relative to the elements, uncorrected**: -2.2347 eV/atom
**Symmetry**: Pm-3m (221)

The structure in POSCAR format:
```
BaRhF3
1.0
4.3238 0.0000 0.0000
0.0000 4.3238 0.0000
0.0000 0.0000 4.3238
Ba Rh F
1 1 3
Direct
0.0000 0.0000 0.0000 Ba
0.5000 0.5000 0.5000 Rh
0.0000 0.5000 0.5000 F
0.5000 0.0000 0.5000 F
0.5000 0.5000 0.0000 F
```

***

(8)
The following is a DFT calculation (SCAN) of BaRhF6 at its PBEsol-relaxed geometry.

**Calculated volume**: 22.26 Å³ per atom
**Spin magnetization**: 1.0 μB/cell
**Energy relative to the elements, uncorrected**: -2.5826 eV/atom
**Symmetry**: Fm-3m (225)

The structure in POSCAR format:
```
BaRhF6
1.0
0.0000 4.4657 4.4657
4.4657 0.0000 4.4657
4.4657 4.4657 0.0000
Ba Rh F
1 1 6
Direct
0.0000 0.0000 0.0000 Ba
0.5000 0.5000 0.5000 Rh
0.2861 0.2861 0.7139 F
0.2861 0.7139 0.2861 F
0.2861 0.7139 0.7139 F
0.7139 0.2861 0.2861 F
0.7139 0.2861 0.7139 F
0.7139 0.7139 0.2861 F
```

***

(9)
The following is a DFT calculation (SCAN) of BaRhF6 at its PBEsol-relaxed geometry.

**Calculated volume**: 14.31 Å³ per atom
**Spin magnetization**: 1.0 μB/cell
**Energy relative to the elements, uncorrected**: -2.6937 eV/atom
**Symmetry**: R-3m (166)

The structure in POSCAR format:
```
BaRhF6
1.0
3.7226 2.1493 2.3848
-3.7226 2.1493 2.3848
0.0000 -4.2985 2.3848
Ba Rh F
1 1 6
Direct
0.0000 0.0000 0.0000 Ba
0.5000 0.5000 0.5000 Rh
0.2191 0.2191 0.5723 F
0.2191 0.5723 0.2191 F
0.4277 0.7809 0.7809 F
0.5723 0.2191 0.2191 F
0.7809 0.4277 0.7809 F
0.7809 0.7809 0.4277 F
```

***

(10)
The following is a DFT calculation (SCAN) of BaRh2SF at its PBEsol-relaxed geometry.

**Calculated volume**: 24.12 Å³ per atom
**Spin magnetization**: 2.9 μB/cell
**Energy relative to the elements, uncorrected**: 0.5336 eV/atom
**Symmetry**: P4/mmm (123)

The structure in POSCAR format:
```
BaRh2SF
1.0
5.1492 0.0000 0.0000
0.0000 5.1492 0.0000
0.0000 0.0000 4.5491
Ba Rh S F
1 2 1 1
Direct
0.0000 0.0000 0.0000 Ba
0.0000 0.5000 0.0000 Rh
0.5000 0.0000 0.0000 Rh
0.5000 0.5000 0.5000 S
0.0000 0.0000 0.5000 F
```

***

(11)
The following is a DFT calculation (SCAN) of Ba2SnS3F2 at its PBEsol-relaxed geometry.

**Calculated volume**: 23.35 Å³ per atom
**Spin magnetization**: 0.0 μB/cell
**Energy relative to the elements, uncorrected**: -2.3907 eV/atom
**Symmetry**: Pnma (62)

The structure in POSCAR format:
```
Ba2SnS3F2
1.0
6.1839 0.0000 0.0000
0.0000 19.2581 0.0000
0.0000 0.0000 6.2750
Ba Sn S F
8 4 12 8
Direct
0.2462 0.0772 0.0034 Ba
0.2462 0.4228 0.0034 Ba
0.2538 0.5772 0.5034 Ba
0.2538 0.9228 0.5034 Ba
0.7462 0.0772 0.4966 Ba
0.7462 0.4228 0.4966 Ba
0.7538 0.5772 0.9966 Ba
0.7538 0.9228 0.9966 Ba
0.1542 0.7500 0.9150 Sn
0.3458 0.2500 0.4150 Sn
0.6542 0.7500 0.5850 Sn
0.8458 0.2500 0.0850 Sn
0.2422 0.1370 0.5146 S
0.2422 0.3630 0.5146 S
0.2432 0.2500 0.0340 S
0.2568 0.7500 0.5340 S
0.2578 0.6370 0.0146 S
0.2578 0.8630 0.0146 S
0.7422 0.1370 0.9854 S
0.7422 0.3630 0.9854 S
0.7432 0.2500 0.4660 S
0.7568 0.7500 0.9660 S
0.7578 0.6370 0.4854 S
0.7578 0.8630 0.4854 S
0.0009 0.0011 0.7468 F
0.0009 0.4989 0.7468 F
0.4991 0.5011 0.2468 F
0.4991 0.9989 0.2468 F
0.5009 0.0011 0.7532 F
0.5009 0.4989 0.7532 F
0.9991 0.5011 0.2532 F
0.9991 0.9989 0.2532 F
```

***

(12)
The following is a DFT calculation (SCAN) of BaSbF5 at its PBEsol-relaxed geometry.

**Calculated volume**: 17.48 Å³ per atom
**Spin magnetization**: 0.0 μB/cell
**Energy relative to the elements, uncorrected**: -3.2050 eV/atom
**Symmetry**: Pbcm (57)

The structure in POSCAR format:
```
BaSbF5
1.0
4.6890 0.0000 0.0000
0.0000 9.2848 0.0000
0.0000 0.0000 11.2397
Ba Sb F
4 4 20
Direct
0.0254 0.2500 0.0000 Ba
0.0254 0.2500 0.5000 Ba
0.9746 0.7500 0.0000 Ba
0.9746 0.7500 0.5000 Ba
0.4013 0.0531 0.2500 Sb
0.4013 0.4469 0.7500 Sb
0.5987 0.5531 0.2500 Sb
0.5987 0.9469 0.7500 Sb
0.1075 0.2093 0.2500 F
0.1075 0.2907 0.7500 F
0.1143 0.5122 0.6162 F
0.1143 0.5122 0.8838 F
0.1143 0.9878 0.1162 F
0.1143 0.9878 0.3838 F
0.4610 0.6926 0.1146 F
0.4610 0.6926 0.3854 F
0.4610 0.8074 0.6146 F
0.4610 0.8074 0.8854 F
0.5390 0.1926 0.1146 F
0.5390 0.1926 0.3854 F
0.5390 0.3074 0.6146 F
0.5390 0.3074 0.8854 F
0.8857 0.0122 0.6162 F
0.8857 0.0122 0.8838 F
0.8857 0.4878 0.1162 F
0.8857 0.4878 0.3838 F
0.8925 0.7093 0.2500 F
0.8925 0.7907 0.7500 F
```

***

(13)
The following is a DFT calculation (SCAN) of BaSbF2 at its PBEsol-relaxed geometry.

**Calculated volume**: 23.66 Å³ per atom
**Spin magnetization**: 0.0 μB/cell
**Energy relative to the elements, uncorrected**: -2.0909 eV/atom
**Symmetry**: I-42d (122)

The structure in POSCAR format:
```
BaSbF2
1.0
-3.5527 3.5527 3.7496
3.5527 -3.5527 3.7496
3.5527 3.5527 -3.7496
Ba Sb F
2 2 4
Direct
0.0000 0.0000 0.0000 Ba
0.7500 0.2500 0.5000 Ba
0.2500 0.7500 0.5000 Sb
0.5000 0.5000 0.0000 Sb
0.0858 0.6250 0.9608 F
0.3750 0.3358 0.4608 F
0.6642 0.1250 0.0392 F
0.8750 0.9142 0.5392 F
```

***

(14)
The following is a DFT calculation (SCAN) of BaSbF7 at its PBEsol-relaxed geometry.

**Calculated volume**: 15.48 Å³ per atom
**Spin magnetization**: 0.1 μB/cell
**Energy relative to the elements, uncorrected**: -2.9831 eV/atom
**Symmetry**: P2_1/c (14)

The structure in POSCAR format:
```
BaSbF7
1.0
5.5686 0.0000 0.0000
0.0000 9.8222 0.0000
-0.2344 0.0000 10.1894
Ba Sb F
4 4 28
Direct
0.1888 0.1747 0.0090 Ba
0.1888 0.3253 0.5090 Ba
0.8112 0.6747 0.4910 Ba
0.8112 0.8253 0.9910 Ba
0.3306 0.6087 0.1842 Sb
0.3306 0.8913 0.6842 Sb
0.6694 0.1087 0.3158 Sb
0.6694 0.3913 0.8158 Sb
0.0405 0.6909 0.2425 F
0.0405 0.8091 0.7425 F
0.1168 0.5449 0.6126 F
0.1168 0.9551 0.1126 F
0.1675 0.0530 0.6330 F
0.1675 0.4470 0.1330 F
0.2655 0.6948 0.0182 F
0.2655 0.8052 0.5182 F
0.3762 0.0437 0.3823 F
0.3762 0.4563 0.8823 F
0.3916 0.5410 0.3586 F
0.3916 0.9590 0.8586 F
0.4830 0.2357 0.7618 F
0.4830 0.2643 0.2618 F
0.5170 0.7357 0.7382 F
0.5170 0.7643 0.2382 F
0.6084 0.0410 0.1414 F
0.6084 0.4590 0.6414 F
0.6238 0.5437 0.1177 F
0.6238 0.9563 0.6177 F
0.7345 0.1948 0.4818 F
0.7345 0.3052 0.9818 F
0.8325 0.5530 0.8670 F
0.8325 0.9470 0.3670 F
0.8832 0.0449 0.8874 F
0.8832 0.4551 0.3874 F
0.9595 0.1909 0.2575 F
0.9595 0.3091 0.7575 F
```

***

(15)
The following is a DFT calculation (SCAN) of BaSb2F12 at its PBEsol-relaxed geometry.

**Calculated volume**: 16.44 Å³ per atom
**Spin magnetization**: 0.2 μB/cell
**Energy relative to the elements, uncorrected**: -2.7736 eV/atom
**Symmetry**: P1 (1)

The structure in POSCAR format:
```
BaSb2F12
1.0
5.3697 0.0000 0.0000
-2.4535 5.0858 0.0000
-2.5188 -1.7552 9.0272
Ba Sb F
1 2 12
Direct
0.0000 0.0000 0.0000 Ba
0.1427 0.5080 0.6756 Sb
0.4009 0.6936 0.2409 Sb
0.0632 0.5363 0.0598 F
0.0632 0.7602 0.7779 F
0.1806 0.4002 0.3170 F
0.2306 0.9132 0.2799 F
0.2538 0.2607 0.6091 F
0.3759 0.7826 0.5933 F
0.4800 0.6253 0.8539 F
0.5247 0.4690 0.1505 F
0.5750 0.9532 0.1231 F
0.7405 0.8577 0.4024 F
0.7980 0.3963 0.5175 F
0.9354 0.2511 0.7833 F
```

***

(16)
The following is a DFT calculation (SCAN) of Ba2TaSbF at its PBEsol-relaxed geometry.

**Calculated volume**: 32.26 Å³ per atom
**Spin magnetization**: 2.4 μB/cell
**Energy relative to the elements, uncorrected**: -0.3700 eV/atom
**Symmetry**: P4/mmm (123)

The structure in POSCAR format:
```
Ba2TaSbF
1.0
6.3099 0.0000 0.0000
0.0000 6.3099 0.0000
0.0000 0.0000 4.0516
Ba Ta Sb F
2 1 1 1
Direct
0.0000 0.5000 0.0000 Ba
0.5000 0.0000 0.0000 Ba
0.0000 0.0000 0.0000 Ta
0.5000 0.5000 0.5000 Sb
0.0000 0.0000 0.5000 F
```

***

(17)
The following is a DFT calculation (SCAN) of BaSb2TeF at its PBEsol-relaxed geometry.

**Calculated volume**: 26.55 Å³ per atom
**Spin magnetization**: 0.0 μB/cell
**Energy relative to the elements, uncorrected**: -0.8011 eV/atom
**Symmetry**: P4/mmm (123)

The structure in POSCAR format:
```
BaSb2TeF
1.0
4.9099 0.0000 0.0000
0.0000 4.9099 0.0000
0.0000 0.0000 5.5067
Ba Sb Te F
1 2 1 1
Direct
0.0000 0.0000 0.0000 Ba
0.0000 0.5000 0.5000 Sb
0.5000 0.0000 0.5000 Sb
0.5000 0.5000 0.0000 Te
0.5000 0.5000 0.5000 F
```

***

(18)
The following is a DFT calculation (SCAN) of BaZnSbF7 at its PBEsol-relaxed geometry.

**Calculated volume**: 14.66 Å³ per atom
**Spin magnetization**: 0.0 μB/cell
**Energy relative to the elements, uncorrected**: -2.9438 eV/atom
**Symmetry**: P2_1/c (14)

The structure in POSCAR format:
```
BaZnSbF7
1.0
5.5417 0.0000 0.0000
0.0000 10.8937 0.0000
-0.7709 0.0000 9.7167
Ba Zn Sb F
4 4 4 28
Direct
0.2452 0.1565 0.0329 Ba
0.2452 0.3435 0.5329 Ba
0.7548 0.6565 0.4671 Ba
0.7548 0.8435 0.9671 Ba
0.2013 0.6469 0.7918 Zn
0.2013 0.8531 0.2918 Zn
0.7987 0.1469 0.7082 Zn
0.7987 0.3531 0.2082 Zn
0.2859 0.5788 0.1419 Sb
0.2859 0.9212 0.6419 Sb
0.7141 0.0788 0.3581 Sb
0.7141 0.4212 0.8581 Sb
0.0120 0.6954 0.2275 F
0.0120 0.8046 0.7275 F
0.1093 0.1205 0.6142 F
0.1093 0.3795 0.1142 F
0.1241 0.5639 0.6192 F
0.1241 0.9361 0.1192 F
0.3336 0.7217 0.9682 F
0.3336 0.7783 0.4682 F
0.3578 0.0128 0.3721 F
0.3578 0.4872 0.8721 F
0.3677 0.5218 0.3421 F
0.3677 0.9782 0.8421 F
0.4815 0.7322 0.2223 F
0.4815 0.7678 0.7223 F
0.5185 0.2322 0.2777 F
0.5185 0.2678 0.7777 F
0.6323 0.0218 0.1579 F
0.6323 0.4782 0.6579 F
0.6422 0.5128 0.1279 F
0.6422 0.9872 0.6279 F
0.6664 0.2217 0.5318 F
0.6664 0.2783 0.0318 F
0.8759 0.0639 0.8808 F
0.8759 0.4361 0.3808 F
0.8907 0.6205 0.8858 F
0.8907 0.8795 0.3858 F
0.9880 0.1954 0.2725 F
0.9880 0.3046 0.7725 F
```

***

(19)
The following is a DFT calculation (SCAN) of Ba2SeF at its PBEsol-relaxed geometry.

**Calculated volume**: 37.27 Å³ per atom
**Spin magnetization**: 1.8 μB/cell
**Energy relative to the elements, uncorrected**: -2.3171 eV/atom
**Symmetry**: I-42d (122)

The structure in POSCAR format:
```
Ba2SeF
1.0
-3.3661 3.3661 6.5780
3.3661 -3.3661 6.5780
3.3661 3.3661 -6.5780
Ba Se F
4 2 2
Direct
0.0776 0.6250 0.9526 Ba
0.3750 0.3276 0.4526 Ba
0.6724 0.1250 0.0474 Ba
0.8750 0.9224 0.5474 Ba
0.2500 0.7500 0.5000 Se
0.5000 0.5000 0.0000 Se
0.0000 0.0000 0.0000 F
0.7500 0.2500 0.5000 F
```

***

(20)
The following is a DFT calculation (SCAN) of BaSrSeF2 at its PBEsol-relaxed geometry.

**Calculated volume**: 31.37 Å³ per atom
**Spin magnetization**: 0.9 μB/cell
**Energy relative to the elements, uncorrected**: -0.8157 eV/atom
**Symmetry**: P4/mmm (123)

The structure in POSCAR format:
```
BaSrSeF2
1.0
5.2036 0.0000 0.0000
0.0000 5.2036 0.0000
0.0000 0.0000 5.7920
Ba Sr Se F
1 1 1 2
Direct
0.0000 0.0000 0.0000 Ba
0.5000 0.5000 0.0000 Sr
0.0000 0.0000 0.5000 Se
0.0000 0.5000 0.5000 F
0.5000 0.0000 0.5000 F
```